Entry 1:
Below is a relaxed structure of CeInGa2, with properties calculated at the PBE-GGA level.

```
data_CeInGa2
_chemical_formula_sum 'Ce1 In1 Ga2'
_cell_length_a 4.5886
_cell_length_b 4.5886
_cell_length_c 5.7170
_cell_angle_alpha 66.34
_cell_angle_beta 66.34
_cell_angle_gamma 60.00
_symmetry_space_group_name_H-M 'P 1'
_symmetry_Int_Tables_number 1
loop_
_symmetry_equiv_pos_as_xyz
'x,y,z'
loop_
_atom_site_label
_atom_site_fract_x
_atom_site_fract_y
_atom_site_fract_z
In1 0.5000 0.5000 0.5000
Ga1 0.2351 0.2351 0.2946
Ga2 0.7649 0.7649 0.7054
Ce1 0.0000 0.0000 0.0000
```

polymorph energy (0 for the lowest one): 112 meV/atom
DFT formation energy: -340 meV per atom
magnetic moment: 0.8 μB per formula unit
symmetry: No. 166



Entry 2:
Below is a relaxed structure of AsPRh2, with properties calculated at the PBE-GGA level.

```
data_AsPRh2
_chemical_formula_sum 'As1 P1 Rh2'
_cell_length_a 2.9753
_cell_length_b 5.1555
_cell_length_c 5.1159
_cell_angle_alpha 47.68
_cell_angle_beta 90.00
_cell_angle_gamma 90.00
_symmetry_space_group_name_H-M 'P 1'
_symmetry_Int_Tables_number 1
loop_
_symmetry_equiv_pos_as_xyz
'x,y,z'
loop_
_atom_site_label
_atom_site_fract_x
_atom_site_fract_y
_atom_site_fract_z
Rh1 0.0000 0.0000 0.0000
Rh2 0.5000 0.5000 0.0000
As1 0.5000 0.5000 0.5000
P1 0.0000 0.0000 0.5000
```

polymorph energy (0 for the lowest one): 196 meV/atom
DFT formation energy: -245 meV per atom
magnetic moment: 0.0 μB per formula unit
symmetry: No. 10



Entry 3:
Below is a relaxed structure of Hf3TcGe, with properties calculated at the PBE-GGA level.

```
data_Hf3TcGe
_chemical_formula_sum 'Hf3 Tc1 Ge1'
_cell_length_a 4.8653
_cell_length_b 4.8653
_cell_length_c 4.8653
_cell_angle_alpha 90.00
_cell_angle_beta 90.00
_cell_angle_gamma 90.00
_symmetry_space_group_name_H-M 'P 1'
_symmetry_Int_Tables_number 1
loop_
_symmetry_equiv_pos_as_xyz
'x,y,z'
loop_
_atom_site_label
_atom_site_fract_x
_atom_site_fract_y
_atom_site_fract_z
Hf1 0.0000 0.0000 0.5000
Hf2 0.0000 0.5000 0.0000
Hf3 0.5000 0.0000 0.0000
Tc1 0.5000 0.5000 0.5000
Ge1 0.0000 0.0000 0.0000
```

polymorph energy (0 for the lowest one): 289 meV/atom
DFT formation energy: 789 meV per atom
magnetic moment: 0.0 μB per formula unit
symmetry: No. 221



Entry 4:
Below is a relaxed structure of BaTlTeBr, with properties calculated at the PBE-GGA level.

```
data_BaTlTeBr
_chemical_formula_sum 'Ba1 Tl1 Te1 Br1'
_cell_length_a 5.8523
_cell_length_b 5.8523
_cell_length_c 5.8523
_cell_angle_alpha 60.00
_cell_angle_beta 60.00
_cell_angle_gamma 60.00
_symmetry_space_group_name_H-M 'P 1'
_symmetry_Int_Tables_number 1
loop_
_symmetry_equiv_pos_as_xyz
'x,y,z'
loop_
_atom_site_label
_atom_site_fract_x
_atom_site_fract_y
_atom_site_fract_z
Te1 0.7500 0.7500 0.7500
Br1 0.2500 0.2500 0.2500
Ba1 0.0000 0.0000 0.0000
Tl1 0.5000 0.5000 0.5000
```

polymorph energy (0 for the lowest one): 68 meV/atom
magnetic moment: 0.0 μB per formula unit
formation energy (no corrections): -5.16 eV per formula unit
symmetry: No. 216